Entry 1:
# ScZnPO2, optimized geometry, DFT GGA-PBEsol
# Formation energy without anion corrections: -0.28 eV/atom
# Total magnetization: 1.38 μB per formula unit
data_ScZnPO2
_chemical_formula_sum 'Sc1 Zn1 P1 O2'
_cell_length_a 3.682
_cell_length_b 3.682
_cell_length_c 5.997
_cell_angle_alpha 90.00
_cell_angle_beta 90.00
_cell_angle_gamma 90.00
_symmetry_space_group_name_H-M 'P 4/m m m'
_symmetry_Int_Tables_number 123
_symmetry_space_group_name_Hall '-P 4 2'
loop_
_atom_site_label
_atom_site_type_symbol
_atom_site_fract_x
_atom_site_fract_y
_atom_site_fract_z
_atom_site_occupancy
Sc1 Sc 0.000 0.000 0.000 1
Zn1 Zn 0.000 0.000 0.500 1
P1 P 0.500 0.500 0.000 1
O1 O 0.000 0.500 0.500 1

Entry 2:
# CdHgSe2, optimized geometry, DFT GGA-PBEsol
# Formation energy without anion corrections: -0.38 eV/atom
# Total magnetization: 0.00 μB per formula unit
data_CdHgSe2
_chemical_formula_sum 'Cd1 Hg1 Se2'
_cell_length_a 4.322
_cell_length_b 4.322
_cell_length_c 6.100
_cell_angle_alpha 90.00
_cell_angle_beta 90.00
_cell_angle_gamma 90.00
_symmetry_space_group_name_H-M 'P -4 m 2'
_symmetry_Int_Tables_number 115
_symmetry_space_group_name_Hall 'P -4 -2'
loop_
_atom_site_label
_atom_site_type_symbol
_atom_site_fract_x
_atom_site_fract_y
_atom_site_fract_z
_atom_site_occupancy
Cd1 Cd 0.000 0.000 0.000 1
Hg1 Hg 0.500 0.500 0.500 1
Se1 Se 0.000 0.500 0.247 1

Entry 3:
# TlNi2Ir, optimized geometry, DFT GGA-PBEsol
# E_form: 0.273 eV/atom
# Total magnetization: 0.00 μB per formula unit
data_TlNi2Ir
_chemical_formula_sum 'Tl1 Ni2 Ir1'
_cell_length_a 2.781
_cell_length_b 3.506
_cell_length_c 5.780
_cell_angle_alpha 90.00
_cell_angle_beta 90.00
_cell_angle_gamma 90.00
_symmetry_space_group_name_H-M 'P m m m'
_symmetry_Int_Tables_number 47
_symmetry_space_group_name_Hall '-P 2 2'
loop_
_atom_site_label
_atom_site_type_symbol
_atom_site_fract_x
_atom_site_fract_y
_atom_site_fract_z
_atom_site_occupancy
Tl1 Tl 0.000 0.000 0.000 1
Ni1 Ni 0.500 0.500 0.285 1
Ir1 Ir 0.000 0.000 0.500 1

Entry 4:
# SbPtW3, optimized geometry, DFT GGA-PBEsol
# Formation energy without anion corrections: 2.82 eV/atom
# Total magnetization: 0.00 μB per formula unit
data_SbPtW3
_chemical_formula_sum 'Sb1 Pt1 W3'
_cell_length_a 4.757
_cell_length_b 4.757
_cell_length_c 4.757
_cell_angle_alpha 90.00
_cell_angle_beta 90.00
_cell_angle_gamma 90.00
_symmetry_space_group_name_H-M 'P m -3 m'
_symmetry_Int_Tables_number 221
_symmetry_space_group_name_Hall '-P 4 2 3'
loop_
_atom_site_label
_atom_site_type_symbol
_atom_site_fract_x
_atom_site_fract_y
_atom_site_fract_z
_atom_site_occupancy
Sb1 Sb 0.000 0.000 0.000 1
Pt1 Pt 0.500 0.500 0.500 1
W1 W 0.000 0.000 0.500 1

Entry 5:
# YZrCo2, optimized geometry, DFT GGA-PBEsol
# E_form: 0.082 eV/atom
# Total magnetization: 0.00 μB per formula unit
data_YZrCo2
_chemical_formula_sum 'Y1 Zr1 Co2'
_cell_length_a 3.546
_cell_length_b 3.546
_cell_length_c 5.535
_cell_angle_alpha 90.00
_cell_angle_beta 90.00
_cell_angle_gamma 90.00
_symmetry_space_group_name_H-M 'P 4 m m'
_symmetry_Int_Tables_number 99
_symmetry_space_group_name_Hall 'P 4 -2'
loop_
_atom_site_label
_atom_site_type_symbol
_atom_site_fract_x
_atom_site_fract_y
_atom_site_fract_z
_atom_site_occupancy
Y1 Y 0.000 0.000 0.000 1
Zr1 Zr 0.500 0.500 0.404 1
Co1 Co 0.000 0.000 0.514 1
Co2 Co 0.500 0.500 0.853 1

Entry 6:
# BaSiPt2S, optimized geometry, DFT GGA-PBEsol
# Formation energy without anion corrections: 1.70 eV/atom
# Total magnetization: 0.00 μB per formula unit
data_BaSiPt2S
_chemical_formula_sum 'Ba1 Si1 Pt2 S1'
_cell_length_a 5.192
_cell_length_b 5.192
_cell_length_c 5.571
_cell_angle_alpha 90.00
_cell_angle_beta 90.00
_cell_angle_gamma 90.00
_symmetry_space_group_name_H-M 'P 4/m m m'
_symmetry_Int_Tables_number 123
_symmetry_space_group_name_Hall '-P 4 2'
loop_
_atom_site_label
_atom_site_type_symbol
_atom_site_fract_x
_atom_site_fract_y
_atom_site_fract_z
_atom_site_occupancy
Ba1 Ba 0.000 0.000 0.000 1
Si1 Si 0.500 0.500 0.500 1
Pt1 Pt 0.000 0.500 0.000 1
S1 S 0.000 0.000 0.500 1

Entry 7:
# In7Pt3, optimized geometry, DFT GGA-PBEsol
# E_form: -0.448 eV/atom
# Total magnetization: 0.00 μB per formula unit
data_In7Pt3
_chemical_formula_sum 'In28 Pt12'
_cell_length_a 9.430
_cell_length_b 9.430
_cell_length_c 9.430
_cell_angle_alpha 90.00
_cell_angle_beta 90.00
_cell_angle_gamma 90.00
_symmetry_space_group_name_H-M 'I m -3 m'
_symmetry_Int_Tables_number 229
_symmetry_space_group_name_Hall '-I 4 2 3'
loop_
_atom_site_label
_atom_site_type_symbol
_atom_site_fract_x
_atom_site_fract_y
_atom_site_fract_z
_atom_site_occupancy
In1 In 0.000 0.250 0.500 1
In2 In 0.163 0.163 0.163 1
Pt1 Pt 0.000 0.000 0.346 1

Entry 8:
# CrSbMo, optimized geometry, DFT GGA-PBEsol
# Formation energy without anion corrections: 0.30 eV/atom
# Total magnetization: 0.00 μB per formula unit
data_CrSbMo
_chemical_formula_sum 'Cr2 Sb2 Mo2'
_cell_length_a 3.222
_cell_length_b 3.222
_cell_length_c 8.876
_cell_angle_alpha 90.00
_cell_angle_beta 90.00
_cell_angle_gamma 90.00
_symmetry_space_group_name_H-M 'I 4 m m'
_symmetry_Int_Tables_number 107
_symmetry_space_group_name_Hall 'I 4 -2'
loop_
_atom_site_label
_atom_site_type_symbol
_atom_site_fract_x
_atom_site_fract_y
_atom_site_fract_z
_atom_site_occupancy
Cr1 Cr 0.000 0.000 0.000 1
Sb1 Sb 0.000 0.000 0.333 1
Mo1 Mo 0.000 0.000 0.654 1

Entry 9:
# KPb3, optimized geometry, DFT GGA-PBEsol
# E_form: -0.085 eV/atom
# Total magnetization: 0.00 μB per formula unit
data_KPb3
_chemical_formula_sum 'K1 Pb3'
_cell_length_a 4.122
_cell_length_b 4.122
_cell_length_c 7.660
_cell_angle_alpha 90.00
_cell_angle_beta 90.00
_cell_angle_gamma 90.00
_symmetry_space_group_name_H-M 'P 4/m m m'
_symmetry_Int_Tables_number 123
_symmetry_space_group_name_Hall '-P 4 2'
loop_
_atom_site_label
_atom_site_type_symbol
_atom_site_fract_x
_atom_site_fract_y
_atom_site_fract_z
_atom_site_occupancy
K1 K 0.000 0.000 0.000 1
Pb1 Pb 0.000 0.000 0.500 1
Pb2 Pb 0.500 0.500 0.297 1

Entry 10:
# Sb2AsPb, optimized geometry, DFT GGA-PBEsol
# Formation energy without anion corrections: 0.03 eV/atom
# Total magnetization: 0.00 μB per formula unit
data_Sb2AsPb
_chemical_formula_sum 'Sb2 As1 Pb1'
_cell_length_a 4.230
_cell_length_b 4.230
_cell_length_c 6.338
_cell_angle_alpha 90.00
_cell_angle_beta 90.00
_cell_angle_gamma 90.00
_symmetry_space_group_name_H-M 'P 4 m m'
_symmetry_Int_Tables_number 99
_symmetry_space_group_name_Hall 'P 4 -2'
loop_
_atom_site_label
_atom_site_type_symbol
_atom_site_fract_x
_atom_site_fract_y
_atom_site_fract_z
_atom_site_occupancy
Sb1 Sb 0.000 0.000 0.000 1
Sb2 Sb 0.500 0.500 0.084 1
As1 As 0.500 0.500 0.497 1
Pb1 Pb 0.000 0.000 0.516 1

Entry 11:
# Cs2ReH, optimized geometry, DFT GGA-PBEsol
# Total magnetization: 4.00 μB per formula unit
# Raw total energy: -46.0 eV for the cell shown
data_Cs2ReH
_chemical_formula_sum 'Cs8 Re4 H4'
_cell_length_a 8.164
_cell_length_b 8.164
_cell_length_c 8.164
_cell_angle_alpha 90.00
_cell_angle_beta 90.00
_cell_angle_gamma 90.00
_symmetry_space_group_name_H-M 'F m -3 m'
_symmetry_Int_Tables_number 225
_symmetry_space_group_name_Hall '-F 4 2 3'
loop_
_atom_site_label
_atom_site_type_symbol
_atom_site_fract_x
_atom_site_fract_y
_atom_site_fract_z
_atom_site_occupancy
Cs1 Cs 0.250 0.250 0.250 1
Re1 Re 0.000 0.000 0.000 1
H1 H 0.000 0.000 0.500 1

Entry 12:
# SrMoW2, optimized geometry, DFT GGA-PBEsol
# E_form: 1.279 eV/atom
# Total magnetization: 0.00 μB per formula unit
data_SrMoW2
_chemical_formula_sum 'Sr4 Mo4 W8'
_cell_length_a 6.586
_cell_length_b 6.586
_cell_length_c 6.586
_cell_angle_alpha 90.00
_cell_angle_beta 90.00
_cell_angle_gamma 90.00
_symmetry_space_group_name_H-M 'F m -3 m'
_symmetry_Int_Tables_number 225
_symmetry_space_group_name_Hall '-F 4 2 3'
loop_
_atom_site_label
_atom_site_type_symbol
_atom_site_fract_x
_atom_site_fract_y
_atom_site_fract_z
_atom_site_occupancy
Sr1 Sr 0.000 0.000 0.000 1
Mo1 Mo 0.000 0.000 0.500 1
W1 W 0.250 0.250 0.250 1

Entry 13:
# RbSnPtSe2, optimized geometry, DFT GGA-PBEsol
# Formation energy without anion corrections: -0.17 eV/atom
# Total magnetization: 0.00 μB per formula unit
data_RbSnPtSe2
_chemical_formula_sum 'Rb1 Sn1 Pt1 Se2'
_cell_length_a 5.289
_cell_length_b 5.289
_cell_length_c 4.983
_cell_angle_alpha 90.00
_cell_angle_beta 90.00
_cell_angle_gamma 90.00
_symmetry_space_group_name_H-M 'P 4/m m m'
_symmetry_Int_Tables_number 123
_symmetry_space_group_name_Hall '-P 4 2'
loop_
_atom_site_label
_atom_site_type_symbol
_atom_site_fract_x
_atom_site_fract_y
_atom_site_fract_z
_atom_site_occupancy
Rb1 Rb 0.000 0.000 0.000 1
Sn1 Sn 0.500 0.500 0.000 1
Pt1 Pt 0.500 0.500 0.500 1
Se1 Se 0.000 0.500 0.500 1

Entry 14:
# ZnRhF6, optimized geometry, DFT GGA-PBEsol
# Formation energy without anion corrections: -1.80 eV/atom
# Total magnetization: 1.03 μB per formula unit
data_ZnRhF6
_chemical_formula_sum 'Zn3 Rh3 F18'
_cell_length_a 4.9695
_cell_length_b 4.9695
_cell_length_c 13.6049
_cell_angle_alpha 90.00
_cell_angle_beta 90.00
_cell_angle_gamma 120.00
_symmetry_space_group_name_H-M 'R -3'
_symmetry_Int_Tables_number 148
_symmetry_space_group_name_Hall '-R 3'
loop_
_atom_site_label
_atom_site_type_symbol
_atom_site_fract_x
_atom_site_fract_y
_atom_site_fract_z
_atom_site_occupancy
Zn1 Zn 0.0000 0.0000 0.0000 1
Rh1 Rh 0.0000 0.0000 0.5000 1
F1 F 0.0117 0.6521 0.2483 1

Entry 15:
# LiZnTe2, optimized geometry, DFT GGA-PBEsol
# Formation energy without anion corrections: -0.37 eV/atom
# Total magnetization: 0.00 μB per formula unit
data_LiZnTe2
_chemical_formula_sum 'Li4 Zn4 Te8'
_cell_length_a 6.403
_cell_length_b 6.403
_cell_length_c 10.994
_cell_angle_alpha 90.00
_cell_angle_beta 90.00
_cell_angle_gamma 90.00
_symmetry_space_group_name_H-M 'I -4 2 d'
_symmetry_Int_Tables_number 122
_symmetry_space_group_name_Hall 'I -4 2bw'
loop_
_atom_site_label
_atom_site_type_symbol
_atom_site_fract_x
_atom_site_fract_y
_atom_site_fract_z
_atom_site_occupancy
Li1 Li 0.000 0.000 0.000 1
Zn1 Zn 0.000 0.000 0.500 1
Te1 Te 0.237 0.250 0.625 1

Entry 16:
# YZrSc, optimized geometry, DFT GGA-PBEsol
# E_form: 0.081 eV/atom
# Total magnetization: 0.00 μB per formula unit
data_YZrSc
_chemical_formula_sum 'Y2 Zr2 Sc2'
_cell_length_a 3.282
_cell_length_b 4.557
_cell_length_c 9.928
_cell_angle_alpha 90.00
_cell_angle_beta 90.00
_cell_angle_gamma 90.00
_symmetry_space_group_name_H-M 'I m m 2'
_symmetry_Int_Tables_number 44
_symmetry_space_group_name_Hall 'I 2 -2'
loop_
_atom_site_label
_atom_site_type_symbol
_atom_site_fract_x
_atom_site_fract_y
_atom_site_fract_z
_atom_site_occupancy
Y1 Y 0.000 0.000 0.000 1
Zr1 Zr 0.000 0.000 0.671 1
Sc1 Sc 0.000 0.000 0.323 1

Entry 17:
# Nb3PtSe, optimized geometry, DFT GGA-PBEsol
# Formation energy without anion corrections: 1.08 eV/atom
# Total magnetization: 0.00 μB per formula unit
data_Nb3PtSe
_chemical_formula_sum 'Nb3 Pt1 Se1'
_cell_length_a 4.867
_cell_length_b 4.867
_cell_length_c 4.867
_cell_angle_alpha 90.00
_cell_angle_beta 90.00
_cell_angle_gamma 90.00
_symmetry_space_group_name_H-M 'P m -3 m'
_symmetry_Int_Tables_number 221
_symmetry_space_group_name_Hall '-P 4 2 3'
loop_
_atom_site_label
_atom_site_type_symbol
_atom_site_fract_x
_atom_site_fract_y
_atom_site_fract_z
_atom_site_occupancy
Nb1 Nb 0.000 0.000 0.500 1
Pt1 Pt 0.000 0.000 0.000 1
Se1 Se 0.500 0.500 0.500 1

Entry 18:
# LiAlNi2, optimized geometry, DFT GGA-PBEsol
# E_form: -0.291 eV/atom
# Total magnetization: 0.00 μB per formula unit
data_LiAlNi2
_chemical_formula_sum 'Li2 Al2 Ni4'
_cell_length_a 8.850
_cell_length_b 2.632
_cell_length_c 4.158
_cell_angle_alpha 90.00
_cell_angle_beta 109.05
_cell_angle_gamma 90.00
_symmetry_space_group_name_H-M 'C 1 m 1'
_symmetry_Int_Tables_number 8
_symmetry_space_group_name_Hall 'C -2y'
loop_
_atom_site_label
_atom_site_type_symbol
_atom_site_fract_x
_atom_site_fract_y
_atom_site_fract_z
_atom_site_occupancy
Li1 Li 0.000 0.000 0.000 1
Al1 Al 0.226 0.000 0.638 1
Ni1 Ni 0.251 0.500 0.152 1
Ni2 Ni 0.483 0.000 0.492 1

Entry 19:
# LiBeAu2, optimized geometry, DFT GGA-PBEsol
# E_form: -0.301 eV/atom
# Total magnetization: 0.00 μB per formula unit
data_LiBeAu2
_chemical_formula_sum 'Li2 Be2 Au4'
_cell_length_a 3.077
_cell_length_b 3.994
_cell_length_c 8.889
_cell_angle_alpha 90.00
_cell_angle_beta 90.00
_cell_angle_gamma 90.00
_symmetry_space_group_name_H-M 'I m m 2'
_symmetry_Int_Tables_number 44
_symmetry_space_group_name_Hall 'I 2 -2'
loop_
_atom_site_label
_atom_site_type_symbol
_atom_site_fract_x
_atom_site_fract_y
_atom_site_fract_z
_atom_site_occupancy
Li1 Li 0.000 0.000 0.000 1
Be1 Be 0.000 0.500 0.244 1
Au1 Au 0.000 0.000 0.543 1
Au2 Au 0.000 0.500 0.775 1

Entry 20:
# YAlIn2, optimized geometry, DFT GGA-PBEsol
# E_form: -0.091 eV/atom
# Total magnetization: 0.00 μB per formula unit
data_YAlIn2
_chemical_formula_sum 'Y3 Al3 In6'
_cell_length_a 3.3394
_cell_length_b 3.3394
_cell_length_c 29.4258
_cell_angle_alpha 90.00
_cell_angle_beta 90.00
_cell_angle_gamma 120.00
_symmetry_space_group_name_H-M 'R -3 m'
_symmetry_Int_Tables_number 166
_symmetry_space_group_name_Hall '-R 3 2"'
loop_
_atom_site_label
_atom_site_type_symbol
_atom_site_fract_x
_atom_site_fract_y
_atom_site_fract_z
_atom_site_occupancy
Y1 Y 0.0000 0.0000 0.0000 1
Al1 Al 0.0000 0.0000 0.5000 1
In1 In 0.0000 0.0000 0.2438 1